Material: AlCd2Pd
Method: DFT, PBE
State: relaxed

Unit cell a=4.650 b=4.650 c=4.650 alpha=60.00 beta=60.00 gamma=60.00
Fractional coordinates of all 4 atoms:
Al1 0.500 0.500 0.500
Cd1 0.000 0.000 0.000
Cd2 0.750 0.750 0.750
Pd1 0.250 0.250 0.250

Computed properties:
Theoretical density   8.37 g cm⁻³
Space-group type   F-43m, No. 216
DFT total energy   -2.854 eV per atom